DFT (GGA+U) results for a geometry-optimized LaVP2O8 structure.

Output
M_tot   2.000 μB/f.u.
Density of states at the Fermi level   4.4 states/eV/cell
Uncorrected energy   -7.79 eV per atom

Lattice parameters (Å, degrees): 5.1708 5.1708 6.8508 90.00 90.00 120.00
Last column: nearest neighbours and their distance in Å.
Fractional coordinates of all 12 atoms:
La 0.0000 0.0000 0.0000  6 O 2.59
V 0.0000 0.0000 0.5000  6 O 2.02
P 0.3333 0.6667 0.7652  4 O 1.54-1.55
P 0.6667 0.3333 0.2348  4 O 1.54-1.55
O 0.1645 0.3393 0.6938  1 P 1.55
O 0.1748 0.8355 0.6938  1 P 1.55
O 0.3333 0.6667 0.9896  1 P 1.54
O 0.3393 0.1748 0.3062  1 P 1.55
O 0.6607 0.8252 0.6938  1 P 1.55
O 0.6667 0.3333 0.0104  1 P 1.54
O 0.8252 0.1645 0.3062  1 P 1.55
O 0.8355 0.6607 0.3062  1 P 1.55